No. 1
Compound: MgZrGaPb2
Source: Alexandria
Functional: PBE
Structure: relaxed Values from VASP.

```
&SYSTEM
  ibrav = 0, nat = 5, ntyp = 4
/
ATOMIC_SPECIES
Mg 24.30 Mg.upf
Pb 207.20 Pb.upf
Zr 91.22 Zr.upf
Ga 69.72 Ga.upf
CELL_PARAMETERS angstrom
5.381 0.000 0.000
0.000 4.882 0.000
0.000 0.000 5.381
ATOMIC_POSITIONS crystal
Mg 0.000 0.000 0.000
Pb 0.500 0.000 0.000
Pb 0.000 0.000 0.500
Zr 0.500 0.500 0.500
Ga 0.000 0.500 0.000
```

## Properties
* space group: P4/mmm (123)
* magnetic moment: 0.0 μB/cell
* formation enthalpy at 0 K: 700 meV per atom
* DFT total energy: -3.417 eV per atom

---

No. 2
Compound: NaTh2Ti
Source: Alexandria
Functional: PBE
Structure: relaxed Values from VASP.

```
&SYSTEM
  ibrav = 0, nat = 4, ntyp = 3
/
ATOMIC_SPECIES
Ti 47.87 Ti.upf
Th 232.04 Th.upf
Na 22.99 Na.upf
CELL_PARAMETERS angstrom
-2.683 0.561 1.901
-2.488 -2.221 0.071
3.729 -6.361 10.067
ATOMIC_POSITIONS crystal
Ti 0.500 0.500 0.500
Th 0.903 0.903 0.290
Na 0.000 0.000 0.000
Th 0.097 0.097 0.710
```

## Properties
* space group: R-3m (166)
* magnetic moment: 0.0 μB/cell
* formation enthalpy at 0 K: 374 meV per atom
* DFT total energy: -5.640 eV per atom

---

No. 3
Compound: CaY5Ru4
Source: Alexandria
Functional: PBE
Structure: relaxed Values from VASP.

```
&SYSTEM
  ibrav = 0, nat = 10, ntyp = 3
/
ATOMIC_SPECIES
Y 88.91 Y.upf
Ru 101.07 Ru.upf
Ca 40.08 Ca.upf
CELL_PARAMETERS angstrom
3.443 0.000 0.000
0.000 3.443 0.000
0.000 0.000 19.514
ATOMIC_POSITIONS crystal
Y 0.500 0.500 0.327
Y 0.500 0.500 0.500
Ru 0.000 0.000 0.587
Ru 0.000 0.000 0.766
Ru 0.000 0.000 0.413
Y 0.500 0.500 0.673
Y 0.500 0.500 0.155
Y 0.500 0.500 0.845
Ru 0.000 0.000 0.234
Ca 0.000 0.000 0.000
```

## Properties
* space group: P4/mmm (123)
* magnetic moment: 0.0 μB/cell
* formation enthalpy at 0 K: -266 meV per atom
* DFT total energy: -7.408 eV per atom

---

No. 4
Compound: Tl2GeO3
Source: Alexandria
Functional: PBE
Structure: relaxed Values from VASP.

```
&SYSTEM
  ibrav = 0, nat = 12, ntyp = 3
/
ATOMIC_SPECIES
O 16.00 O.upf
Tl 204.38 Tl.upf
Ge 72.64 Ge.upf
CELL_PARAMETERS angstrom
5.137 0.000 0.000
0.000 6.634 -5.574
0.000 -1.609 8.514
ATOMIC_POSITIONS crystal
O 0.983 0.785 0.597
Tl 0.524 0.871 0.564
O 0.483 0.215 0.403
Tl 0.024 0.436 0.129
O 0.397 0.892 0.892
O 0.483 0.403 0.215
Tl 0.524 0.564 0.871
Ge 0.046 0.820 0.820
Ge 0.546 0.180 0.180
Tl 0.024 0.129 0.436
O 0.897 0.108 0.108
O 0.983 0.597 0.785
```

## Properties
* space group: Cmc2_1 (36)
* magnetic moment: 0.0 μB/cell
* DFT total energy: -5.243 eV per atom
* formation energy without anion corrections: -1205 meV/atom
* excess energy over the best structure of this formula in the dataset: 0.00 eV per formula unit

---

No. 5
Compound: In2Au13
Source: Alexandria
Functional: PBE
Structure: relaxed Values from VASP.

```
&SYSTEM
  ibrav = 0, nat = 15, ntyp = 2
/
ATOMIC_SPECIES
Au 196.97 Au.upf
In 114.82 In.upf
CELL_PARAMETERS angstrom
-3.637 -2.462 3.751
0.369 -5.033 -5.164
5.564 -0.351 5.702
ATOMIC_POSITIONS crystal
Au 0.495 0.499 0.316
Au 0.649 0.339 0.940
In 0.163 0.201 0.393
Au 0.279 0.858 0.447
Au 0.995 0.431 0.225
Au 0.415 0.911 0.808
Au 0.158 0.218 0.785
Au 0.000 0.000 0.000
In 0.837 0.799 0.607
Au 0.585 0.089 0.192
Au 0.005 0.569 0.775
Au 0.842 0.782 0.215
Au 0.351 0.661 0.060
Au 0.505 0.501 0.684
Au 0.721 0.142 0.553
```

## Properties
* space group: P-1 (2)
* magnetic moment: 0.0 μB/cell
* formation enthalpy at 0 K: -23 meV per atom
* DFT total energy: -3.229 eV per atom
* excess energy over the best structure of this formula in the dataset: 0.00 eV per formula unit

---

No. 6
Compound: YTl
Source: Alexandria
Functional: PBE
Structure: relaxed Values from VASP.

```
&SYSTEM
  ibrav = 0, nat = 4, ntyp = 2
/
ATOMIC_SPECIES
Tl 204.38 Tl.upf
Y 88.91 Y.upf
CELL_PARAMETERS angstrom
3.599 0.000 0.000
-1.800 3.117 0.000
0.000 0.000 10.683
ATOMIC_POSITIONS crystal
Tl 0.667 0.333 0.245
Y 0.000 0.000 0.492
Y 0.667 0.333 0.758
Tl 0.000 0.000 0.005
```

## Properties
* space group: P-3m1 (164)
* magnetic moment: 0.0 μB/cell
* formation enthalpy at 0 K: -98 meV per atom
* DFT total energy: -4.513 eV per atom

---

No. 7
Compound: SnRhN2O
Source: Alexandria
Functional: PBE
Structure: relaxed Values from VASP.

```
&SYSTEM
  ibrav = 0, nat = 5, ntyp = 4
/
ATOMIC_SPECIES
O 16.00 O.upf
Sn 118.71 Sn.upf
N 14.01 N.upf
Rh 102.91 Rh.upf
CELL_PARAMETERS angstrom
3.859 0.000 0.000
0.000 3.859 0.000
0.000 0.000 4.255
ATOMIC_POSITIONS crystal
O 0.000 0.000 0.500
Sn 0.500 0.500 0.500
N 0.000 0.500 0.000
N 0.500 0.000 0.000
Rh 0.000 0.000 0.000
```

## Properties
* space group: P4/mmm (123)
* magnetic moment: 0.0 μB/cell
* DFT total energy: -5.960 eV per atom
* formation energy without anion corrections: 633 meV/atom

---

No. 8
Compound: Yb2B6Rh9
Source: Alexandria
Functional: PBE
Structure: relaxed Values from VASP.

```
&SYSTEM
  ibrav = 0, nat = 17, ntyp = 3
/
ATOMIC_SPECIES
Rh 102.91 Rh.upf
B 10.81 B.upf
Yb 173.04 Yb.upf
CELL_PARAMETERS angstrom
5.633 0.000 0.000
-2.817 4.879 0.000
0.000 0.000 8.536
ATOMIC_POSITIONS crystal
Rh 0.500 0.500 0.164
B 0.333 0.667 0.000
Rh 0.000 0.500 0.164
Rh 0.500 0.000 0.500
Rh 0.000 0.500 0.836
Yb 0.000 0.000 0.296
B 0.667 0.333 0.332
B 0.667 0.333 0.668
B 0.333 0.667 0.668
B 0.333 0.667 0.332
Rh 0.500 0.500 0.500
Yb 0.000 0.000 0.704
Rh 0.500 0.500 0.836
Rh 0.500 0.000 0.164
Rh 0.000 0.500 0.500
Rh 0.500 0.000 0.836
B 0.667 0.333 0.000
```

## Properties
* space group: P6/mmm (191)
* magnetic moment: 0.9 μB/cell
* formation enthalpy at 0 K: -559 meV per atom
* DFT total energy: -6.987 eV per atom

---

No. 9
Compound: NbSbAs2Br
Source: Alexandria
Functional: PBE
Structure: relaxed Values from VASP.

```
&SYSTEM
  ibrav = 0, nat = 5, ntyp = 4
/
ATOMIC_SPECIES
Nb 92.91 Nb.upf
As 74.92 As.upf
Sb 121.76 Sb.upf
Br 79.90 Br.upf
CELL_PARAMETERS angstrom
5.127 0.000 0.000
0.000 5.127 0.000
0.000 0.000 4.982
ATOMIC_POSITIONS crystal
Nb 0.000 0.000 0.000
As 0.500 0.000 0.000
As 0.000 0.500 0.000
Sb 0.500 0.500 0.500
Br 0.000 0.000 0.500
```

## Properties
* space group: P4/mmm (123)
* magnetic moment: 0.0 μB/cell
* DFT total energy: -4.714 eV per atom
* formation energy without anion corrections: 318 meV/atom
* excess energy over the best structure of this formula in the dataset: 0.00 eV per formula unit

---

No. 10
Compound: UIrAu
Source: Alexandria
Functional: PBE
Structure: relaxed Values from VASP.

```
&SYSTEM
  ibrav = 0, nat = 6, ntyp = 3
/
ATOMIC_SPECIES
U 238.03 U.upf
Au 196.97 Au.upf
Ir 192.22 Ir.upf
CELL_PARAMETERS angstrom
3.110 -0.018 0.004
0.044 7.420 -0.383
0.004 1.808 5.180
ATOMIC_POSITIONS crystal
U 0.000 0.758 0.897
U 0.000 0.242 0.103
Au 0.500 0.866 0.349
Au 0.500 0.134 0.651
Ir 0.500 0.500 0.264
Ir 0.500 0.500 0.736
```

## Properties
* space group: P2/m (10)
* magnetic moment: 3.7 μB/cell
* formation enthalpy at 0 K: -285 meV per atom
* DFT total energy: -8.094 eV per atom

---

No. 11
Compound: NbGaN2
Source: Alexandria
Functional: PBE
Structure: relaxed Values from VASP.

```
&SYSTEM
  ibrav = 0, nat = 8, ntyp = 3
/
ATOMIC_SPECIES
Ga 69.72 Ga.upf
N 14.01 N.upf
Nb 92.91 Nb.upf
CELL_PARAMETERS angstrom
-2.989 3.567 -1.235
0.512 -1.178 -4.641
-4.723 -1.611 -2.611
ATOMIC_POSITIONS crystal
Ga 0.500 0.500 0.000
N 0.875 0.858 0.750
N 0.142 0.625 0.250
Nb 0.000 0.000 0.000
N 0.608 0.125 0.250
Ga 0.250 0.750 0.500
N 0.375 0.392 0.750
Nb 0.750 0.250 0.500
```

## Properties
* space group: I-42d (122)
* magnetic moment: 0.0 μB/cell
* DFT total energy: -7.692 eV per atom
* formation energy without anion corrections: -256 meV/atom

---

No. 12
Compound: BaTa2Cr
Source: Alexandria
Functional: PBE
Structure: relaxed Values from VASP.

```
&SYSTEM
  ibrav = 0, nat = 4, ntyp = 3
/
ATOMIC_SPECIES
Ba 137.33 Ba.upf
Ta 180.95 Ta.upf
Cr 52.00 Cr.upf
CELL_PARAMETERS angstrom
-0.101 -1.407 -5.034
-0.706 -3.925 1.111
-4.078 0.701 -0.114
ATOMIC_POSITIONS crystal
Ba 0.500 0.500 0.000
Ta 0.000 0.000 0.000
Ta 0.000 0.500 0.500
Cr 0.500 0.000 0.500
```

## Properties
* space group: P4/mmm (123)
* magnetic moment: 2.7 μB/cell
* formation enthalpy at 0 K: 1311 meV per atom
* DFT total energy: -7.502 eV per atom
* excess energy over the best structure of this formula in the dataset: 2.71 eV per formula unit

---

No. 13
Compound: TbSnTe3
Source: Alexandria
Functional: PBE
Structure: relaxed Values from VASP.

```
&SYSTEM
  ibrav = 0, nat = 10, ntyp = 3
/
ATOMIC_SPECIES
Te 127.60 Te.upf
Tb 158.93 Tb.upf
Sn 118.71 Sn.upf
CELL_PARAMETERS angstrom
5.139 0.000 0.000
0.000 7.890 0.000
-2.569 0.000 8.972
ATOMIC_POSITIONS crystal
Te 0.829 0.993 0.658
Te 0.829 0.507 0.658
Tb 0.694 0.250 0.389
Te 0.171 0.493 0.342
Te 0.171 0.007 0.342
Tb 0.306 0.750 0.611
Te 0.479 0.750 0.958
Te 0.521 0.250 0.042
Sn 0.054 0.750 0.108
Sn 0.946 0.250 0.892
```

## Properties
* space group: Cmcm (63)
* magnetic moment: 0.0 μB/cell
* DFT total energy: -4.300 eV per atom
* formation energy without anion corrections: -688 meV/atom

---

No. 14
Compound: Cd2FeCu2Pd5
Source: Alexandria
Functional: PBE
Structure: relaxed Values from VASP.

```
&SYSTEM
  ibrav = 0, nat = 20, ntyp = 4
/
ATOMIC_SPECIES
Cd 112.41 Cd.upf
Pd 106.42 Pd.upf
Cu 63.55 Cu.upf
Fe 55.84 Fe.upf
CELL_PARAMETERS angstrom
3.752 0.000 0.000
0.000 9.275 0.000
0.000 0.000 9.275
ATOMIC_POSITIONS crystal
Cd 0.000 0.330 0.830
Pd 0.500 0.079 0.808
Pd 0.500 0.000 0.500
Cu 0.000 0.128 0.628
Fe 0.000 0.500 0.500
Pd 0.500 0.921 0.192
Pd 0.500 0.579 0.692
Cu 0.000 0.872 0.372
Cu 0.000 0.628 0.872
Cd 0.000 0.830 0.670
Pd 0.500 0.500 0.000
Cd 0.000 0.170 0.330
Cu 0.000 0.372 0.128
Pd 0.500 0.808 0.921
Pd 0.500 0.421 0.308
Pd 0.500 0.308 0.579
Cd 0.000 0.670 0.170
Fe 0.000 0.000 0.000
Pd 0.500 0.692 0.421
Pd 0.500 0.192 0.079
```

## Properties
* space group: P4/mbm (127)
* magnetic moment: 8.1 μB/cell
* formation enthalpy at 0 K: -70 meV per atom
* DFT total energy: -4.515 eV per atom

---

No. 15
Compound: K4Ac3GaSe8
Source: Alexandria
Functional: PBE
Structure: relaxed Values from VASP.

```
&SYSTEM
  ibrav = 0, nat = 16, ntyp = 4
/
ATOMIC_SPECIES
Ac 227.00 Ac.upf
Se 78.96 Se.upf
Ga 69.72 Ga.upf
K 39.10 K.upf
CELL_PARAMETERS angstrom
-2.121 6.319 -5.778
-8.312 0.984 4.128
7.395 0.876 4.976
ATOMIC_POSITIONS crystal
Ac 0.000 0.500 0.500
Se 0.262 0.278 0.524
Se 0.794 0.305 0.016
Se 0.251 0.731 0.502
Ga 0.000 0.500 0.000
K 0.500 0.000 0.500
Se 0.206 0.695 0.984
Se 0.778 0.695 0.984
K 0.500 0.000 0.000
Ac 0.500 0.500 0.500
Se 0.222 0.305 0.016
K 0.000 0.000 0.000
Ac 0.500 0.500 0.000
Se 0.738 0.722 0.476
Se 0.749 0.269 0.498
K 0.000 0.000 0.500
```

## Properties
* space group: C2/m (12)
* magnetic moment: 0.0 μB/cell
* DFT total energy: -4.452 eV per atom
* formation energy without anion corrections: -1476 meV/atom

---

No. 16
Compound: Ba2YCuSn
Source: Alexandria
Functional: PBE
Structure: relaxed Values from VASP.

```
&SYSTEM
  ibrav = 0, nat = 5, ntyp = 4
/
ATOMIC_SPECIES
Cu 63.55 Cu.upf
Y 88.91 Y.upf
Sn 118.71 Sn.upf
Ba 137.33 Ba.upf
CELL_PARAMETERS angstrom
5.813 0.000 0.000
0.000 5.633 0.000
0.000 0.000 5.813
ATOMIC_POSITIONS crystal
Cu 0.000 0.000 0.000
Y 0.000 0.500 0.000
Sn 0.500 0.500 0.500
Ba 0.000 0.000 0.500
Ba 0.500 0.000 0.000
```

## Properties
* space group: P4/mmm (123)
* magnetic moment: 0.0 μB/cell
* formation enthalpy at 0 K: 15 meV per atom
* DFT total energy: -3.667 eV per atom

---

No. 17
Compound: Sb4As2Cl3
Source: Alexandria
Functional: PBE
Structure: relaxed Values from VASP.

```
&SYSTEM
  ibrav = 0, nat = 18, ntyp = 3
/
ATOMIC_SPECIES
Cl 35.45 Cl.upf
Sb 121.76 Sb.upf
As 74.92 As.upf
CELL_PARAMETERS angstrom
7.665 -1.568 -1.123
-1.638 9.515 -2.010
-1.638 1.163 9.656
ATOMIC_POSITIONS crystal
Cl 0.750 0.487 0.513
Cl 0.250 0.513 0.487
Sb 0.628 0.755 0.637
Cl 0.920 0.976 0.747
Cl 0.080 0.024 0.253
As 0.854 0.582 0.873
Sb 0.128 0.637 0.755
As 0.354 0.873 0.582
As 0.146 0.418 0.127
Sb 0.372 0.245 0.363
Sb 0.964 0.353 0.834
Cl 0.420 0.747 0.976
Sb 0.036 0.647 0.166
Sb 0.464 0.834 0.353
Sb 0.536 0.166 0.647
Sb 0.872 0.363 0.245
As 0.646 0.127 0.418
Cl 0.580 0.253 0.024
```

## Properties
* space group: C2/c (15)
* magnetic moment: 0.0 μB/cell
* DFT total energy: -3.717 eV per atom
* formation energy without anion corrections: -236 meV/atom

---

No. 18
Compound: RbNaCd2Pd
Source: Alexandria
Functional: PBE
Structure: relaxed Values from VASP.

```
&SYSTEM
  ibrav = 0, nat = 5, ntyp = 4
/
ATOMIC_SPECIES
Rb 85.47 Rb.upf
Cd 112.41 Cd.upf
Pd 106.42 Pd.upf
Na 22.99 Na.upf
CELL_PARAMETERS angstrom
-4.987 -1.901 0.583
0.876 -0.687 5.252
-1.840 5.128 0.978
ATOMIC_POSITIONS crystal
Rb 0.500 0.500 0.500
Cd 0.500 0.000 0.000
Pd 0.000 0.000 0.000
Na 0.000 0.000 0.500
Cd 0.000 0.500 0.000
```

## Properties
* space group: P4/mmm (123)
* magnetic moment: 0.0 μB/cell
* formation enthalpy at 0 K: -145 meV per atom
* DFT total energy: -2.007 eV per atom
* excess energy over the best structure of this formula in the dataset: 0.00 eV per formula unit

---

No. 19
Compound: SrCaSc2Re
Source: Alexandria
Functional: PBE
Structure: relaxed Values from VASP.

```
&SYSTEM
  ibrav = 0, nat = 5, ntyp = 4
/
ATOMIC_SPECIES
Sr 87.62 Sr.upf
Ca 40.08 Ca.upf
Sc 44.96 Sc.upf
Re 186.21 Re.upf
CELL_PARAMETERS angstrom
4.970 0.000 0.000
0.000 5.263 0.000
0.000 0.000 4.970
ATOMIC_POSITIONS crystal
Sr 0.000 0.500 0.000
Ca 0.000 0.000 0.000
Sc 0.500 0.000 0.000
Re 0.500 0.500 0.500
Sc 0.000 0.000 0.500
```

## Properties
* space group: P4/mmm (123)
* magnetic moment: 0.8 μB/cell
* formation enthalpy at 0 K: 2030 meV per atom
* DFT total energy: -3.729 eV per atom

---

No. 20
Compound: La2CrP
Source: Alexandria
Functional: PBE
Structure: relaxed Values from VASP.

```
&SYSTEM
  ibrav = 0, nat = 8, ntyp = 3
/
ATOMIC_SPECIES
La 138.91 La.upf
P 30.97 P.upf
Cr 52.00 Cr.upf
CELL_PARAMETERS angstrom
8.080 0.000 0.000
0.000 8.080 0.000
4.040 4.040 3.358
ATOMIC_POSITIONS crystal
La 0.146 0.625 0.250
La 0.604 0.125 0.250
La 0.875 0.854 0.750
La 0.375 0.396 0.750
P 0.500 0.500 0.000
P 0.250 0.750 0.500
Cr 0.000 0.000 0.000
Cr 0.750 0.250 0.500
```

## Properties
* space group: I-42d (122)
* magnetic moment: 7.5 μB/cell
* formation enthalpy at 0 K: -46 meV per atom
* DFT total energy: -6.268 eV per atom